Record 1
DFT (PBE) results for crystalline ZrCr2Fe at its relaxed geometry.

Geometry as POSCAR:
```
ZrCr2Fe
1.0
1.430 0.826 8.188
-1.430 0.826 8.188
0.000 -1.651 8.188
Zr Cr Fe
1 2 1
direct
0.000 0.000 0.000 Zr
0.498 0.498 0.498 Cr
0.764 0.764 0.764 Cr
0.239 0.239 0.239 Fe
```

Its space group is R3m. The total magnetic moment is 1.434 μB per formula unit. Its excess energy over the best structure of this formula in the dataset is 300 meV/atom. The calculation puts the formation energy at 0.433 eV per atom.

Record 2
DFT (PBE) results for crystalline Ba2SrAsPb at its relaxed geometry.

Geometry as POSCAR:
```
Ba2SrAsPb
1.0
6.320 0.000 0.000
0.000 6.320 0.000
0.000 0.000 5.899
Ba Sr As Pb
2 1 1 1
direct
0.000 0.500 0.000 Ba
0.500 0.000 0.000 Ba
0.000 0.000 0.500 Sr
0.000 0.000 0.000 As
0.500 0.500 0.499 Pb
```

Its space group is P4mm. The total magnetic moment is 0.436 μB per formula unit. The calculation puts the formation energy at -0.621 eV per atom.

Record 3
DFT (PBE) results for crystalline PaBeReSi2 at its relaxed geometry.

Geometry as POSCAR:
```
PaBeReSi2
1.0
-1.952 1.952 5.229
1.952 -1.952 5.229
1.952 1.952 -5.229
Pa Be Re Si
1 1 1 2
direct
0.000 0.000 0.000 Pa
0.250 0.750 0.500 Be
0.750 0.250 0.500 Re
0.385 0.385 0.000 Si
0.615 0.615 0.000 Si
```

As for the uncorrected formation energy: -0.350 eV/atom. Its space group is I-4m2. The total magnetic moment is 0.000 μB per formula unit.

Record 4
DFT (PBE) results for crystalline InSnPb2 at its relaxed geometry.

Geometry as POSCAR:
```
InSnPb2
1.0
3.524 0.000 0.000
0.000 3.524 0.000
0.000 0.000 9.526
In Sn Pb
1 1 2
direct
0.000 0.000 0.000 In
0.000 0.000 0.500 Sn
0.500 0.500 0.252 Pb
0.500 0.500 0.748 Pb
```

Its space group is P4/mmm. The total magnetic moment is 0.000 μB per formula unit. Its excess energy over the best structure of this formula in the dataset is 0 meV/atom. The calculation puts the formation energy at 0.014 eV per atom.